No. 1
The following is a DFT calculation (PBE) of an optimized crystal structure of Tb2SmTaN4.

**DOS(E_F)**: 1.9 states/eV/cell
**SG**: No. 10
**E_form (uncorrected)**: -1.44 eV/atom
**VASP energy**: -70.62 eV for the cell shown

The structure in POSCAR format:
```
Tb2SmTaN4
1.0
3.384 0.000 0.000
0.000 5.915 0.131
0.000 -2.041 5.509
Tb Sm Ta N
2 1 1 4
Cartesian
1.692 -1.021 2.754
0.000 1.937 2.820
1.692 2.958 0.066
0.000 0.000 0.000
1.692 0.851 1.279
1.692 3.023 4.361
0.000 -0.230 4.244
0.000 4.104 1.396
```

---

No. 2
The following is a DFT calculation (PBE) of an optimized crystal structure of TbSmTaN3.

**DOS(E_F)**: 4.6 states/eV/cell
**SG**: No. 11
**E_form (uncorrected)**: -1.10 eV/atom
**VASP energy**: -105.54 eV for the cell shown

The structure in POSCAR format:
```
TbSmTaN3
1.0
3.458 0.000 0.000
0.000 7.282 1.189
0.000 -1.475 7.760
Tb Sm Ta N
2 2 2 6
Cartesian
0.864 4.187 1.934
2.593 1.620 7.016
2.593 4.937 7.551
0.864 0.869 1.398
0.864 0.030 4.662
2.593 5.776 4.288
0.864 5.218 5.201
2.593 6.084 2.306
2.593 2.608 1.417
2.593 0.588 3.749
0.864 3.198 7.532
0.864 -0.278 6.644
```

---

No. 3
The following is a DFT calculation (PBE) of an optimized crystal structure of SmThTaN3.

**DOS(E_F)**: 4.0 states/eV/cell
**SG**: No. 11
**E_form (uncorrected)**: -1.12 eV/atom
**VASP energy**: -111.38 eV for the cell shown

The structure in POSCAR format:
```
SmThTaN3
1.0
3.592 0.000 0.000
0.000 7.289 0.613
0.000 -2.311 8.795
Sm Th Ta N
2 2 2 6
Cartesian
2.694 4.062 8.170
0.898 0.916 1.238
0.898 4.387 1.759
2.694 0.592 7.649
0.898 -1.180 5.485
2.694 6.158 3.923
0.898 5.252 4.149
2.694 6.248 1.777
2.694 2.701 1.234
2.694 -0.274 5.259
0.898 2.277 8.174
0.898 -1.270 7.632
```